(1)
An optimized crystal structure of As2RuW, computed with GGA-PBE.

Output
Formation energy from the elements ... 0.0742 eV per atom
Energy above the most stable polymorph in this dataset ... 0.078 eV per atom
Total magnetization ... 0.00 μB per formula unit
Total DFT energy (no corrections) ... -31.2 eV for the cell shown

a b c (Å): 4.7227 4.7227 4.5492
angles (deg): 74.76 74.76 39.09
With the nearest neighbours (Å) after each atom.
Positions (direct):
As  0.7569  0.7569  0.6972  3 Ru 2.53-2.60, 2 W 2.67
As  0.9917  0.9917  0.0615  3 W 2.52-2.58, 4 Ru 2.73-2.81
Ru  0.4980  0.4980  0.5686  7 As 2.53-2.81
W  0.2534  0.2534  0.1727  5 As 2.52-2.67



(2)
An optimized crystal structure of AsRuW3, computed with GGA-PBE.

Output
Formation energy from the elements ... 1.7463 eV per atom
Energy above the most stable polymorph in this dataset ... 0.000 eV per atom
Total magnetization ... 0.00 μB per formula unit
Total DFT energy (no corrections) ... -44.1 eV for the cell shown

a b c (Å): 4.5364 4.5364 4.5364
angles (deg): 90.00 90.00 90.00
With the nearest neighbours (Å) after each atom.
Positions (direct):
W  0.0000  0.0000  0.5000  2 As 2.27
W  0.0000  0.5000  0.0000  2 As 2.27
W  0.5000  0.0000  0.0000  2 As 2.27
Ru  0.5000  0.5000  0.5000  12 W 3.21
As  0.0000  0.0000  0.0000  6 W 2.27



(3)
An optimized crystal structure of AsRuW, computed with GGA-PBE.

Output
Formation energy from the elements ... 0.1441 eV per atom
Energy above the most stable polymorph in this dataset ... 0.067 eV per atom
Total magnetization ... 0.00 μB per formula unit
Total DFT energy (no corrections) ... -26.4 eV for the cell shown

a b c (Å): 2.8674 2.8674 6.4830
angles (deg): 90.00 90.00 120.00
With the nearest neighbours (Å) after each atom.
Positions (direct):
As  0.0000  0.0000  0.0070  3 Ru 2.70, 3 W 2.81, 6 As 2.87
Ru  0.6667  0.3333  0.3354  3 W 2.67, 3 As 2.70, 6 Ru 2.87
W  0.3333  0.6667  0.6576  3 Ru 2.67, 3 As 2.81, 6 W 2.87



(4)
An optimized crystal structure of As2RuW, computed with GGA-PBE.

Output
Formation energy from the elements ... 0.2267 eV per atom
Energy above the most stable polymorph in this dataset ... 0.231 eV per atom
Total magnetization ... 0.00 μB per formula unit
Total DFT energy (no corrections) ... -30.6 eV for the cell shown

a b c (Å): 4.3079 4.3079 5.3139
angles (deg): 78.10 78.10 40.10
With the nearest neighbours (Å) after each atom.
Positions (direct):
As  0.4961  0.4961  0.5012  3 Ru 2.60-2.68, 3 W 2.63-2.64
As  0.0039  0.0039  0.9988  3 Ru 2.60-2.68, 3 W 2.63-2.64
Ru  0.7500  0.7500  0.7500  6 As 2.60-2.68
W  0.2500  0.2500  0.2500  6 As 2.63-2.64



(5)
An optimized crystal structure of As2RuW, computed with GGA-PBE.

Output
Formation energy from the elements ... 0.3974 eV per atom
Energy above the most stable polymorph in this dataset ... 0.401 eV per atom
Total magnetization ... 0.00 μB per formula unit
Total DFT energy (no corrections) ... -29.9 eV for the cell shown

a b c (Å): 3.5648 3.0820 5.9753
angles (deg): 91.21 90.00 90.00
With the nearest neighbours (Å) after each atom.
Positions (direct):
Ru  0.5000  0.2500  0.2500  4 As 2.41
As  0.0000  0.2598  0.9791  2 Ru 2.41
As  0.0000  0.2402  0.5209  2 Ru 2.41
W  0.5000  0.7500  0.7500  8 As 2.72-2.73



(6)
An optimized crystal structure of As2RuW, computed with GGA-PBE.

Output
Formation energy from the elements ... 0.5544 eV per atom
Energy above the most stable polymorph in this dataset ... 0.558 eV per atom
Total magnetization ... 0.00 μB per formula unit
Total DFT energy (no corrections) ... -29.3 eV for the cell shown

a b c (Å): 4.4883 4.4883 4.4883
angles (deg): 60.00 60.00 60.00
With the nearest neighbours (Å) after each atom.
Positions (direct):
Ru  0.5000  0.5000  0.5000  4 W 2.75, 4 As 2.75
As  0.7500  0.7500  0.7500  4 As 2.75, 4 Ru 2.75
As  0.0000  0.0000  0.0000  4 As 2.75, 4 W 2.75
W  0.2500  0.2500  0.2500  4 As 2.75, 4 Ru 2.75



(7)
An optimized crystal structure of AsRuW3, computed with GGA-PBE.

Output
Formation energy from the elements ... 1.9651 eV per atom
Energy above the most stable polymorph in this dataset ... 0.219 eV per atom
Total magnetization ... 0.00 μB per formula unit
Total DFT energy (no corrections) ... -43.0 eV for the cell shown

a b c (Å): 4.7136 4.7136 4.7136
angles (deg): 90.00 90.00 90.00
With the nearest neighbours (Å) after each atom.
Positions (direct):
W  0.0000  0.0000  0.5000  2 Ru 2.36
W  0.0000  0.5000  0.0000  2 Ru 2.36
W  0.5000  0.0000  0.0000  2 Ru 2.36
As  0.5000  0.5000  0.5000  12 W 3.33
Ru  0.0000  0.0000  0.0000  6 W 2.36



(8)
An optimized crystal structure of As2RuW, computed with GGA-PBE.

Output
Formation energy from the elements ... 0.3694 eV per atom
Energy above the most stable polymorph in this dataset ... 0.373 eV per atom
Total magnetization ... 0.00 μB per formula unit
Total DFT energy (no corrections) ... -30.1 eV for the cell shown

a b c (Å): 4.8395 4.8395 4.8395
angles (deg): 131.42 131.42 71.14
With the nearest neighbours (Å) after each atom.
Positions (direct):
As  0.2500  0.7500  0.5000  4 As 2.80, 4 Ru 2.80, 4 W 2.82
As  0.0000  0.0000  0.0000  4 W 2.80, 4 As 2.80, 4 Ru 2.82
W  0.7500  0.2500  0.5000  8 As 2.80-2.82, 4 Ru 2.80
Ru  0.5000  0.5000  0.0000  8 As 2.80-2.82, 4 W 2.80



(9)
An optimized crystal structure of As2RuW, computed with GGA-PBE.

Output
Formation energy from the elements ... 0.1032 eV per atom
Energy above the most stable polymorph in this dataset ... 0.107 eV per atom
Total magnetization ... 0.00 μB per formula unit
Total DFT energy (no corrections) ... -31.1 eV for the cell shown

a b c (Å): 4.3891 4.3891 4.3891
angles (deg): 60.00 60.00 60.00
With the nearest neighbours (Å) after each atom.
Positions (direct):
Ru  0.0000  0.0000  0.0000  8 As 2.69
As  0.7500  0.7500  0.7500  4 W 2.69, 4 Ru 2.69
As  0.2500  0.2500  0.2500  4 W 2.69, 4 Ru 2.69
W  0.5000  0.5000  0.5000  8 As 2.69



(10)
An optimized crystal structure of As2RuW2, computed with GGA-PBE.

Output
Formation energy from the elements ... 0.7356 eV per atom
Total magnetization ... 1.07 μB per formula unit
Total DFT energy (no corrections) ... -40.8 eV for the cell shown

a b c (Å): 5.5968 5.5968 5.5968
angles (deg): 134.46 134.46 66.37
With the nearest neighbours (Å) after each atom.
Positions (direct):
As  0.6228  0.6228  0.0000  1 As 2.30, 4 W 2.47
As  0.3772  0.3772  0.0000  1 As 2.30, 4 W 2.47
W  0.7500  0.2500  0.5000  4 As 2.47
W  0.2500  0.7500  0.5000  4 As 2.47
Ru  0.0000  0.0000  0.0000  8 W 3.19, 10 As 3.27-3.53



(11)
An optimized crystal structure of As2RuW, computed with GGA-PBE.

Output
Formation energy from the elements ... 0.5703 eV per atom
Energy above the most stable polymorph in this dataset ... 0.574 eV per atom
Total magnetization ... 0.00 μB per formula unit
Total DFT energy (no corrections) ... -58.5 eV for the cell shown

a b c (Å): 5.6868 5.6868 6.6898
angles (deg): 64.85 64.85 90.00
With the nearest neighbours (Å) after each atom.
Positions (direct):
W  0.0000  0.0000  0.0000  4 As 2.45
W  0.7500  0.2500  0.5000  4 As 2.45
As  0.3750  0.3853  0.7500  2 Ru 2.38, 2 W 2.45
As  0.6147  0.1250  0.2500  2 Ru 2.38, 2 W 2.45
As  0.1353  0.6250  0.2500  2 Ru 2.38, 2 W 2.45
As  0.8750  0.8647  0.7500  2 Ru 2.38, 2 W 2.45
Ru  0.5000  0.5000  0.0000  4 As 2.38
Ru  0.2500  0.7500  0.5000  4 As 2.38



(12)
An optimized crystal structure of AsRuW, computed with GGA-PBE.

Output
Formation energy from the elements ... 0.2037 eV per atom
Energy above the most stable polymorph in this dataset ... 0.127 eV per atom
Total magnetization ... 0.00 μB per formula unit
Total DFT energy (no corrections) ... -26.3 eV for the cell shown

a b c (Å): 4.6082 4.6082 4.6082
angles (deg): 143.29 127.56 65.72
With the nearest neighbours (Å) after each atom.
Positions (direct):
W  0.6720  0.6720  0.0000  5 As 2.55-2.83, 5 Ru 2.67-2.77
As  0.0010  0.0010  0.0000  1 Ru 2.52, 1 W 2.55
Ru  0.3269  0.3269  0.0000  1 As 2.52, 5 W 2.67-2.77